(1)
The following is a PBEsol calculation of a relaxed structure of Mg3Bi, from the Alexandria database.

Cell lengths 6.3846, 6.3846, 5.4436 Å; angles 90.00, 90.00, 120.00 degrees
Space group P6_3/mmc (No. 194)
Inequivalent atoms, fractional coordinates:
Mg 0.1637 0.3274 0.2500 (multiplicity 6)
Bi 0.3333 0.6667 0.7500 (multiplicity 2)

Results
* formation energy from the elements: -106 meV/atom
* final energy: -2.465 eV per atom
* size of the total moment: 0.000 μB per formula unit
* DOS at the Fermi energy: 0.34 states/eV/atom
* crystal system: hexagonal

***

(2)
The following is a PBEsol calculation of a relaxed structure of Mg3Bi, from the Alexandria database.

Cell lengths 4.4701, 4.4701, 9.6389 Å; angles 90.00, 90.00, 90.00 degrees
Space group I4/mmm (No. 139)
Inequivalent atoms, fractional coordinates:
Mg 0.0000 0.0000 0.0000 (multiplicity 2)
Mg 0.0000 0.5000 0.2500 (multiplicity 4)
Bi 0.0000 0.0000 0.5000 (multiplicity 2)

Results
* formation energy from the elements: -111 meV/atom
* final energy: -2.471 eV per atom
* size of the total moment: 0.000 μB per formula unit
* DOS at the Fermi energy: 0.35 states/eV/atom
* crystal system: tetragonal

***

(3)
The following is a PBEsol calculation of a relaxed structure of MgMn3Bi, from the Alexandria database.

Cell lengths 4.6832, 4.6832, 4.6832 Å; angles 90.00, 90.00, 90.00 degrees
Space group Pm-3m (No. 221)
Inequivalent atoms, fractional coordinates:
Mg 0.0000 0.0000 0.0000 (multiplicity 1)
Mn 0.0000 0.0000 0.5000 (multiplicity 3)
Bi 0.5000 0.5000 0.5000 (multiplicity 1)

Results
* formation energy from the elements: 1281 meV/atom
* final energy: -5.777 eV per atom
* size of the total moment: 11.112 μB per formula unit
* DOS at the Fermi energy: 0.54 states/eV/atom
* crystal system: cubic

***

(4)
The following is a PBEsol calculation of a relaxed structure of MgMnBiRu2, from the Alexandria database.

Cell lengths 4.9214, 4.9214, 5.0360 Å; angles 90.00, 90.00, 90.00 degrees
Space group P4/mmm (No. 123)
Inequivalent atoms, fractional coordinates:
Mg 0.0000 0.0000 0.0000 (multiplicity 1)
Mn 0.5000 0.5000 0.0000 (multiplicity 1)
Bi 0.0000 0.0000 0.5000 (multiplicity 1)
Ru 0.0000 0.5000 0.5000 (multiplicity 2)

Results
* formation energy from the elements: 1856 meV/atom
* final energy: -5.365 eV per atom
* size of the total moment: 4.662 μB per formula unit
* DOS at the Fermi energy: 1.14 states/eV/atom
* crystal system: tetragonal

***

(5)
The following is a PBEsol calculation of a relaxed structure of MgBiMo3, from the Alexandria database.

Cell lengths 4.6436, 4.6436, 4.6436 Å; angles 90.00, 90.00, 90.00 degrees
Space group Pm-3m (No. 221)
Inequivalent atoms, fractional coordinates:
Mg 0.0000 0.0000 0.0000 (multiplicity 1)
Bi 0.5000 0.5000 0.5000 (multiplicity 1)
Mo 0.0000 0.0000 0.5000 (multiplicity 3)

Results
* formation energy from the elements: 2074 meV/atom
* final energy: -6.187 eV per atom
* size of the total moment: 3.779 μB per formula unit
* DOS at the Fermi energy: 1.67 states/eV/atom
* crystal system: cubic

***

(6)
The following is a PBEsol calculation of a relaxed structure of MgBi2MoP, from the Alexandria database.

Cell lengths 5.2213, 5.2213, 4.9306 Å; angles 90.00, 90.00, 90.00 degrees
Space group P4/mmm (No. 123)
Inequivalent atoms, fractional coordinates:
Mg 0.0000 0.0000 0.0000 (multiplicity 1)
Bi 0.0000 0.5000 0.0000 (multiplicity 2)
Mo 0.0000 0.0000 0.5000 (multiplicity 1)
P 0.5000 0.5000 0.5000 (multiplicity 1)

Results
* formation energy from the elements: 1592 meV/atom
* final energy: -3.978 eV per atom
* size of the total moment: 2.697 μB per formula unit
* DOS at the Fermi energy: 0.83 states/eV/atom
* crystal system: tetragonal
* distance to the lowest polymorph of the same formula: 0.6528 eV/atom

***

(7)
The following is a PBEsol calculation of a relaxed structure of MgBi2MoP, from the Alexandria database.

Cell lengths 5.2169, 5.2169, 5.1397 Å; angles 90.00, 90.00, 90.00 degrees
Space group P4/mmm (No. 123)
Inequivalent atoms, fractional coordinates:
Mg 0.0000 0.0000 0.0000 (multiplicity 1)
Bi 0.0000 0.5000 0.5000 (multiplicity 2)
Mo 0.0000 0.0000 0.5000 (multiplicity 1)
P 0.5000 0.5000 0.0000 (multiplicity 1)

Results
* formation energy from the elements: 939 meV/atom
* final energy: -4.630 eV per atom
* size of the total moment: 1.239 μB per formula unit
* DOS at the Fermi energy: 0.81 states/eV/atom
* crystal system: tetragonal
* distance to the lowest polymorph of the same formula: 0.0000 eV/atom

***

(8)
The following is a PBEsol calculation of a relaxed structure of MgBiS2N, from the Alexandria database.

Cell lengths 5.1878, 5.1878, 4.1620 Å; angles 90.00, 90.00, 90.00 degrees
Space group P4/mmm (No. 123)
Inequivalent atoms, fractional coordinates:
Mg 0.0000 0.0000 0.0000 (multiplicity 1)
Bi 0.5000 0.5000 0.5000 (multiplicity 1)
S 0.0000 0.5000 0.5000 (multiplicity 2)
N 0.5000 0.5000 0.0000 (multiplicity 1)

Results
* final energy: -4.035 eV per atom
* size of the total moment: 0.785 μB per formula unit
* DOS at the Fermi energy: 0.70 states/eV/atom
* uncorrected formation energy: 0.62 eV/atom
* crystal system: tetragonal